# 1
# AcEr2Th, relaxed, DFT PBE-GGA
# V: 137 Å³ per cell
# Energy of formation from the pure elements: 0.039 eV/atom
# Energy above the lowest structure with this stoichiometry: 0.000 eV per atom
data_AcEr2Th
_chemical_formula_sum 'Ac1 Er2 Th1'
_cell_length_a 3.688
_cell_length_b 3.688
_cell_length_c 10.065
_cell_angle_alpha 90.00
_cell_angle_beta 90.00
_cell_angle_gamma 90.00
_symmetry_space_group_name_H-M 'P 4/m m m'
_symmetry_Int_Tables_number 123
_symmetry_space_group_name_Hall '-P 4 2'
loop_
_atom_site_label
_atom_site_fract_x
_atom_site_fract_y
_atom_site_fract_z
Ac1 0.000 0.000 0.000
Er1 0.500 0.500 0.270
Th1 0.000 0.000 0.500

---

# 2
# Tb2PCl3, relaxed, DFT PBE-GGA
# ΔE_f (raw): -1.908 eV/atom
# V: 708 Å³ per cell
data_Tb2PCl3
_chemical_formula_sum 'Tb8 P4 Cl12'
_cell_length_a 16.404
_cell_length_b 4.211
_cell_length_c 12.480
_cell_angle_alpha 90.00
_cell_angle_beta 124.75
_cell_angle_gamma 90.00
_symmetry_space_group_name_H-M 'C 1 2/m 1'
_symmetry_Int_Tables_number 12
loop_
_symmetry_equiv_pos_as_xyz
'x,y,z'
'-x,-y,-z'
'-x,y,-z'
'x,-y,z'
'x+1/2,y+1/2,z'
'-x+1/2,-y+1/2,-z'
'-x+1/2,y+1/2,-z'
'x+1/2,-y+1/2,z'
loop_
_atom_site_label
_atom_site_fract_x
_atom_site_fract_y
_atom_site_fract_z
Tb1 0.108 0.000 0.457
Tb2 0.137 0.500 0.824
P1 0.095 0.000 0.667
Cl1 0.058 0.500 0.272
Cl2 0.161 0.000 0.005
Cl3 0.237 0.500 0.596

---

# 3
# Ac2YCd6, relaxed, DFT PBE-GGA
# V: 254 Å³ per cell
# Energy of formation from the pure elements: -0.313 eV/atom
data_Ac2YCd6
_chemical_formula_sum 'Ac2 Y1 Cd6'
_cell_length_a 8.8374
_cell_length_b 8.8374
_cell_length_c 3.7535
_cell_angle_alpha 90.00
_cell_angle_beta 90.00
_cell_angle_gamma 120.00
_symmetry_space_group_name_H-M 'P 6/m m m'
_symmetry_Int_Tables_number 191
_symmetry_space_group_name_Hall '-P 6 2'
loop_
_atom_site_label
_atom_site_fract_x
_atom_site_fract_y
_atom_site_fract_z
Ac1 0.3333 0.6667 0.0000
Y1 0.0000 0.0000 0.0000
Cd1 0.0000 0.3251 0.5000

---

# 4
# YTaSb2, relaxed, DFT PBE-GGA
# ΔE_f (raw): -0.193 eV/atom
# V: 192 Å³ per cell
# Energy above the lowest structure with this stoichiometry: 0.124 eV per atom
data_YTaSb2
_chemical_formula_sum 'Y2 Ta2 Sb4'
_cell_length_a 10.631
_cell_length_b 3.736
_cell_length_c 4.907
_cell_angle_alpha 90.00
_cell_angle_beta 99.49
_cell_angle_gamma 90.00
_symmetry_space_group_name_H-M 'C 1 m 1'
_symmetry_Int_Tables_number 8
loop_
_symmetry_equiv_pos_as_xyz
'x,y,z'
'x,-y,z'
'x+1/2,y+1/2,z'
'x+1/2,-y+1/2,z'
loop_
_atom_site_label
_atom_site_fract_x
_atom_site_fract_y
_atom_site_fract_z
Y1 0.000 0.000 0.000
Ta1 0.227 0.000 0.584
Sb1 0.007 0.500 0.506
Sb2 0.231 0.500 0.091

---

# 5
# Sc4Ga3Tc, relaxed, DFT PBE-GGA
# V: 148 Å³ per cell
# Energy of formation from the pure elements: -0.563 eV/atom
data_Sc4Ga3Tc
_chemical_formula_sum 'Sc4 Ga3 Tc1'
_cell_length_a 3.411
_cell_length_b 4.654
_cell_length_c 9.305
_cell_angle_alpha 90.00
_cell_angle_beta 90.00
_cell_angle_gamma 90.00
_symmetry_space_group_name_H-M 'P m m m'
_symmetry_Int_Tables_number 47
loop_
_symmetry_equiv_pos_as_xyz
'x,y,z'
'-x,-y,-z'
'-x,-y,z'
'x,y,-z'
'x,-y,-z'
'-x,y,z'
'-x,y,-z'
'x,-y,z'
loop_
_atom_site_label
_atom_site_fract_x
_atom_site_fract_y
_atom_site_fract_z
Sc1 0.000 0.000 0.000
Sc2 0.000 0.000 0.500
Sc3 0.000 0.500 0.235
Ga1 0.500 0.000 0.240
Ga2 0.500 0.500 0.500
Tc1 0.500 0.500 0.000

---

# 6
# Ce2CuSi3, relaxed, DFT PBE-GGA
# ΔE_f (raw): -0.681 eV/atom
# V: 952 Å³ per cell
# Energy above the lowest structure with this stoichiometry: 0.000 eV per atom
data_Ce2CuSi3
_chemical_formula_sum 'Ce16 Cu8 Si24'
_cell_length_a 8.087
_cell_length_b 8.425
_cell_length_c 13.980
_cell_angle_alpha 90.00
_cell_angle_beta 90.00
_cell_angle_gamma 90.00
_symmetry_space_group_name_H-M 'F m m m'
_symmetry_Int_Tables_number 69
_symmetry_space_group_name_Hall '-F 2 2'
loop_
_atom_site_label
_atom_site_fract_x
_atom_site_fract_y
_atom_site_fract_z
Ce1 0.000 0.244 0.000
Ce2 0.250 0.250 0.250
Cu1 0.000 0.000 0.334
Si1 0.000 0.000 0.169
Si2 0.246 0.000 0.416

---

# 7
# Be2Zn2CuAu5, relaxed, DFT PBE-GGA
# V: 307 Å³ per cell
# Energy of formation from the pure elements: -0.083 eV/atom
data_Be2Zn2CuAu5
_chemical_formula_sum 'Be4 Zn4 Cu2 Au10'
_cell_length_a 9.548
_cell_length_b 9.548
_cell_length_c 3.369
_cell_angle_alpha 90.00
_cell_angle_beta 90.00
_cell_angle_gamma 90.00
_symmetry_space_group_name_H-M 'P 4/m b m'
_symmetry_Int_Tables_number 127
_symmetry_space_group_name_Hall '-P 4 2ab'
loop_
_atom_site_label
_atom_site_fract_x
_atom_site_fract_y
_atom_site_fract_z
Be1 0.131 0.369 0.000
Zn1 0.166 0.666 0.000
Cu1 0.000 0.000 0.000
Au1 0.000 0.500 0.500
Au2 0.097 0.192 0.500

---

# 8
# BaCdPb2, relaxed, DFT PBE-GGA
# V: 133 Å³ per cell
# Energy of formation from the pure elements: -0.214 eV/atom
data_BaCdPb2
_chemical_formula_sum 'Ba1 Cd1 Pb2'
_cell_length_a 4.108
_cell_length_b 4.108
_cell_length_c 7.860
_cell_angle_alpha 90.00
_cell_angle_beta 90.00
_cell_angle_gamma 90.00
_symmetry_space_group_name_H-M 'P 4/m m m'
_symmetry_Int_Tables_number 123
_symmetry_space_group_name_Hall '-P 4 2'
loop_
_atom_site_label
_atom_site_fract_x
_atom_site_fract_y
_atom_site_fract_z
Ba1 0.000 0.000 0.000
Cd1 0.000 0.000 0.500
Pb1 0.500 0.500 0.300

---

# 9
# GdEr2Zn, relaxed, DFT PBE-GGA
# V: 108 Å³ per cell
# Energy of formation from the pure elements: -0.159 eV/atom
# Energy above the lowest structure with this stoichiometry: 0.000 eV per atom
data_GdEr2Zn
_chemical_formula_sum 'Gd1 Er2 Zn1'
_cell_length_a 3.536
_cell_length_b 3.536
_cell_length_c 8.631
_cell_angle_alpha 90.00
_cell_angle_beta 90.00
_cell_angle_gamma 90.00
_symmetry_space_group_name_H-M 'P 4/m m m'
_symmetry_Int_Tables_number 123
_symmetry_space_group_name_Hall '-P 4 2'
loop_
_atom_site_label
_atom_site_fract_x
_atom_site_fract_y
_atom_site_fract_z
Gd1 0.000 0.000 0.000
Er1 0.500 0.500 0.296
Zn1 0.000 0.000 0.500

---

# 10
# TiBeRe2O, relaxed, DFT PBE-GGA
# ΔE_f (raw): 1.191 eV/atom
# V: 73 Å³ per cell
data_TiBeRe2O
_chemical_formula_sum 'Ti1 Be1 Re2 O1'
_cell_length_a 4.077
_cell_length_b 4.077
_cell_length_c 4.362
_cell_angle_alpha 90.00
_cell_angle_beta 90.00
_cell_angle_gamma 90.00
_symmetry_space_group_name_H-M 'P 4/m m m'
_symmetry_Int_Tables_number 123
_symmetry_space_group_name_Hall '-P 4 2'
loop_
_atom_site_label
_atom_site_fract_x
_atom_site_fract_y
_atom_site_fract_z
Ti1 0.000 0.000 0.000
Be1 0.000 0.000 0.500
Re1 0.000 0.500 0.500
O1 0.500 0.500 0.000

---

# 11
# CeNd4Sm3Se8, relaxed, DFT PBE-GGA
# ΔE_f (raw): -1.830 eV/atom
# V: 1262 Å³ per cell
data_CeNd4Sm3Se8
_chemical_formula_sum 'Ce3 Nd12 Sm9 Se24'
_cell_length_a 8.4082
_cell_length_b 8.4082
_cell_length_c 20.6182
_cell_angle_alpha 90.00
_cell_angle_beta 90.00
_cell_angle_gamma 120.00
_symmetry_space_group_name_H-M 'R -3 m'
_symmetry_Int_Tables_number 166
_symmetry_space_group_name_Hall '-R 3 2"'
loop_
_atom_site_label
_atom_site_fract_x
_atom_site_fract_y
_atom_site_fract_z
Ce1 0.0000 0.0000 0.0000
Nd1 0.0000 0.0000 0.5000
Nd2 0.0000 0.5000 0.5000
Sm1 0.0000 0.5000 0.0000
Se1 0.0000 0.0000 0.2517
Se2 0.0004 0.5002 0.2516

---

# 12
# TlTcAu2, relaxed, DFT PBE-GGA
# V: 149 Å³ per cell
# Energy of formation from the pure elements: 0.423 eV/atom
# Energy above the lowest structure with this stoichiometry: 0.019 eV per atom
data_TlTcAu2
_chemical_formula_sum 'Tl2 Tc2 Au4'
_cell_length_a 10.792
_cell_length_b 2.889
_cell_length_c 5.330
_cell_angle_alpha 90.00
_cell_angle_beta 116.54
_cell_angle_gamma 90.00
_symmetry_space_group_name_H-M 'C 1 m 1'
_symmetry_Int_Tables_number 8
loop_
_symmetry_equiv_pos_as_xyz
'x,y,z'
'x,-y,z'
'x+1/2,y+1/2,z'
'x+1/2,-y+1/2,z'
loop_
_atom_site_label
_atom_site_fract_x
_atom_site_fract_y
_atom_site_fract_z
Tl1 0.000 0.000 0.000
Tc1 0.252 0.000 0.933
Au1 0.028 0.500 0.519
Au2 0.270 0.500 0.421